First-principles (PBE) data for a relaxed K2PmTlS4 crystal, as listed in Alexandria.

The crystal system is monoclinic. For the spin magnetization, the calculation gives 0.00 Bohr magnetons per cell. The uncorrected formation energy is -1155 meV/atom. The calculation puts the density of states at the Fermi level at 0.018 states/eV/atom. As for the total DFT energy (no corrections): -4.3824 eV/atom. As for the symmetry: C2/c (15).

a = 8.4791 Å, b = 8.4791 Å, c = 8.3690 Å
α = 119.00°, β = 119.00°, γ = 91.82°
Closest atoms and distances in Å follow each position.
Sites, in units of the cell vectors:
K1 0.0000 0.0000 0.0000  6 S 3.14-3.21
K2 0.0000 0.0000 0.5000  6 S 3.14-3.21
K3 0.0000 0.5000 0.0000  6 S 3.09-3.20
K4 0.5000 0.0000 0.5000  6 S 3.09-3.20
Pm1 0.0000 0.5000 0.5000  6 S 2.82-2.92
Pm2 0.5000 0.0000 0.0000  6 S 2.82-2.92
Tl1 0.5000 0.5000 0.0000  6 S 2.70-2.96
Tl2 0.5000 0.5000 0.5000  6 S 2.70-2.96
S1 0.2551 0.7401 0.9714  2 Pm 2.82-2.84, 1 Tl 2.96, 2 K 3.09-3.14
S2 0.2599 0.7449 0.5286  2 Pm 2.82-2.84, 1 Tl 2.96, 2 K 3.09-3.14
S3 0.2725 0.2952 0.5242  2 Tl 2.70-2.87, 1 Pm 2.92
S4 0.2952 0.2725 0.0242  2 Tl 2.70-2.87, 1 Pm 2.92
S5 0.7048 0.7275 0.9758  2 Tl 2.70-2.87, 1 Pm 2.92
S6 0.7275 0.7048 0.4758  2 Tl 2.70-2.87, 1 Pm 2.92
S7 0.7401 0.2551 0.4714  2 Pm 2.82-2.84, 1 Tl 2.96, 2 K 3.09-3.14
S8 0.7449 0.2599 0.0286  2 Pm 2.82-2.84, 1 Tl 2.96, 2 K 3.09-3.14

***

First-principles (PBE) data for a relaxed K2PmTmS4 crystal, as listed in Alexandria.

The crystal system is monoclinic. For the spin magnetization, the calculation gives 0.00 Bohr magnetons per cell. The uncorrected formation energy is -1869 meV/atom. The calculation puts the density of states at the Fermi level at 0.000 states/eV/atom. As for the total DFT energy (no corrections): -5.3603 eV/atom. As for the symmetry: P2/m (10).

a = 7.0736 Å, b = 4.0824 Å, c = 7.7435 Å
α = 90.00°, β = 107.70°, γ = 90.00°
Closest atoms and distances in Å follow each position.
Sites, in units of the cell vectors:
K1 0.0000 0.0000 0.0000  6 S 3.25-3.26
K2 0.5000 0.5000 0.0000  6 S 3.19
Pm1 0.0000 0.5000 0.5000  6 S 2.83-2.84
Tm1 0.5000 0.0000 0.5000  6 S 2.75-2.76
S1 0.2437 0.0000 0.7045  1 Tm 2.75, 2 Pm 2.83
S2 0.2750 0.5000 0.2993  2 Tm 2.76, 1 Pm 2.84
S3 0.7250 0.5000 0.7007  2 Tm 2.76, 1 Pm 2.84
S4 0.7563 0.0000 0.2955  1 Tm 2.75, 2 Pm 2.83

***

First-principles (PBE) data for a relaxed K3PmTm2S6 crystal, as listed in Alexandria.

The crystal system is monoclinic. For the spin magnetization, the calculation gives 0.00 Bohr magnetons per cell. The uncorrected formation energy is -1876 meV/atom. The calculation puts the density of states at the Fermi level at 0.000 states/eV/atom. As for the total DFT energy (no corrections): -5.3554 eV/atom. As for the symmetry: C2/m (12).

a = 7.0230 Å, b = 7.0230 Å, c = 7.7355 Å
α = 98.71°, β = 98.71°, γ = 120.00°
Closest atoms and distances in Å follow each position.
Sites, in units of the cell vectors:
K1 0.0000 0.0000 0.0000  6 S 3.16-3.24
K2 0.3346 0.6654 0.0000  6 S 3.17-3.24
K3 0.6654 0.3346 0.0000  6 S 3.17-3.24
Pm1 0.5000 0.5000 0.5000  6 S 2.83
Tm1 0.1668 0.8332 0.5000  6 S 2.74-2.75
Tm2 0.8332 0.1668 0.5000  6 S 2.74-2.75
S1 0.0897 0.4327 0.2985  2 Tm 2.74, 1 Pm 2.83
S2 0.2240 0.2240 0.7014  2 Tm 2.75, 1 Pm 2.83
S3 0.4327 0.0897 0.2985  2 Tm 2.74, 1 Pm 2.83
S4 0.5673 0.9103 0.7015  2 Tm 2.74, 1 Pm 2.83
S5 0.7760 0.7760 0.2986  2 Tm 2.75, 1 Pm 2.83
S6 0.9103 0.5673 0.7015  2 Tm 2.74, 1 Pm 2.83

***

First-principles (PBE) data for a relaxed K3Pm3US8 crystal, as listed in Alexandria.

The crystal system is trigonal. For the spin magnetization, the calculation gives 2.00 Bohr magnetons per cell. The uncorrected formation energy is -1765 meV/atom. The calculation puts the density of states at the Fermi level at 0.405 states/eV/atom. As for the total DFT energy (no corrections): -5.8888 eV/atom. As for the symmetry: R-3m (166).

a = 8.8745 Å, b = 8.8745 Å, c = 8.8745 Å
α = 55.40°, β = 55.40°, γ = 55.40°
Closest atoms and distances in Å follow each position.
Sites, in units of the cell vectors:
K1 0.0000 0.5000 0.5000  6 S 3.25-3.26
K2 0.5000 0.0000 0.5000  6 S 3.25-3.26
K3 0.5000 0.5000 0.0000  6 S 3.25-3.26
Pm1 0.0000 0.0000 0.5000  6 S 2.84
Pm2 0.0000 0.5000 0.0000  6 S 2.84
Pm3 0.5000 0.0000 0.0000  6 S 2.84
U1 0.5000 0.5000 0.5000  6 S 2.72
S1 0.2352 0.2352 0.2352  3 Pm 2.84
S2 0.2453 0.7254 0.7254  1 U 2.72, 2 Pm 2.84
S3 0.2746 0.2746 0.7547  1 U 2.72, 2 Pm 2.84
S4 0.2746 0.7547 0.2746  1 U 2.72, 2 Pm 2.84
S5 0.7254 0.2453 0.7254  1 U 2.72, 2 Pm 2.84
S6 0.7254 0.7254 0.2453  1 U 2.72, 2 Pm 2.84
S7 0.7547 0.2746 0.2746  1 U 2.72, 2 Pm 2.84
S8 0.7648 0.7648 0.7648  3 Pm 2.84

***

First-principles (PBE) data for a relaxed K3PmU2S6 crystal, as listed in Alexandria.

The crystal system is monoclinic. For the spin magnetization, the calculation gives 6.02 Bohr magnetons per cell. The uncorrected formation energy is -1535 meV/atom. The calculation puts the density of states at the Fermi level at 0.630 states/eV/atom. As for the total DFT energy (no corrections): -6.1502 eV/atom. As for the symmetry: C2/m (12).

a = 7.0742 Å, b = 7.0742 Å, c = 7.7878 Å
α = 98.71°, β = 98.71°, γ = 120.00°
Closest atoms and distances in Å follow each position.
Sites, in units of the cell vectors:
K1 0.0000 0.0000 0.0000  6 S 3.18-3.24
K2 0.3350 0.6650 0.0000  6 S 3.19-3.24
K3 0.6650 0.3350 0.0000  6 S 3.19-3.24
Pm1 0.5000 0.5000 0.5000  6 S 2.85
U1 0.1668 0.8332 0.5000  6 S 2.78
U2 0.8332 0.1668 0.5000  6 S 2.78
S1 0.0904 0.4315 0.2949  2 U 2.78, 1 Pm 2.85
S2 0.2272 0.2272 0.7050  2 U 2.78, 1 Pm 2.85
S3 0.4315 0.0904 0.2949  2 U 2.78, 1 Pm 2.85
S4 0.5685 0.9096 0.7051  2 U 2.78, 1 Pm 2.85
S5 0.7728 0.7728 0.2950  2 U 2.78, 1 Pm 2.85
S6 0.9096 0.5685 0.7051  2 U 2.78, 1 Pm 2.85

***

First-principles (PBE) data for a relaxed K3Pm2US6 crystal, as listed in Alexandria.

The crystal system is monoclinic. For the spin magnetization, the calculation gives 3.01 Bohr magnetons per cell. The uncorrected formation energy is -1683 meV/atom. The calculation puts the density of states at the Fermi level at 0.896 states/eV/atom. As for the total DFT energy (no corrections): -5.7536 eV/atom. As for the symmetry: C2/m (12).

a = 7.1666 Å, b = 7.1666 Å, c = 7.7694 Å
α = 98.84°, β = 98.84°, γ = 120.00°
Closest atoms and distances in Å follow each position.
Sites, in units of the cell vectors:
K1 0.0000 0.0000 0.0000  6 S 3.21-3.27
K2 0.3318 0.6682 0.0000  6 S 3.21-3.25
K3 0.6682 0.3318 0.0000  6 S 3.21-3.25
Pm1 0.1665 0.8335 0.5000  6 S 2.85
Pm2 0.8335 0.1665 0.5000  6 S 2.85
U1 0.5000 0.5000 0.5000  6 S 2.79
S1 0.1045 0.4315 0.2943  1 U 2.79, 2 Pm 2.85
S2 0.2418 0.2418 0.7058  1 U 2.79, 2 Pm 2.85
S3 0.4315 0.1045 0.2943  1 U 2.79, 2 Pm 2.85
S4 0.5685 0.8955 0.7057  1 U 2.79, 2 Pm 2.85
S5 0.7582 0.7582 0.2942  1 U 2.79, 2 Pm 2.85
S6 0.8955 0.5685 0.7057  1 U 2.79, 2 Pm 2.85